1.
# FeRe (GGA-PBEsol, optimized geometry)
# Volume   13.05 Å³/atom
# M_tot   1.136 μB per atom
# Energy relative to the elements   0.154 eV/atom
# Space-group type   Fd-3m (227)
# Energy   -10.993 eV/atom
data_FeRe
_chemical_formula_sum 'Fe2 Re2'
_cell_length_a 4.195
_cell_length_b 4.195
_cell_length_c 4.195
_cell_angle_alpha 60.00
_cell_angle_beta 60.00
_cell_angle_gamma 60.00
_symmetry_space_group_name_H-M 'P 1'
_symmetry_Int_Tables_number 1
loop_
_symmetry_equiv_pos_as_xyz
'x,y,z'
loop_
_atom_site_label
_atom_site_type_symbol
_atom_site_fract_x
_atom_site_fract_y
_atom_site_fract_z
Fe1 Fe 0.500 0.500 0.500
Fe2 Fe 0.750 0.750 0.750
Re1 Re 0.250 0.250 0.250
Re2 Re 0.000 0.000 0.000



2.
# FeRe (GGA-PBEsol, optimized geometry)
# Volume   12.35 Å³/atom
# M_tot   0.000 μB per atom
# Energy relative to the elements   0.017 eV/atom
# Space-group type   Cm (8)
# Energy   -11.131 eV/atom
data_FeRe
_chemical_formula_sum 'Fe3 Re3'
_cell_length_a 2.627
_cell_length_b 4.916
_cell_length_c 6.155
_cell_angle_alpha 104.08
_cell_angle_beta 90.00
_cell_angle_gamma 105.49
_symmetry_space_group_name_H-M 'P 1'
_symmetry_Int_Tables_number 1
loop_
_symmetry_equiv_pos_as_xyz
'x,y,z'
loop_
_atom_site_label
_atom_site_type_symbol
_atom_site_fract_x
_atom_site_fract_y
_atom_site_fract_z
Re1 Re 0.671 0.342 0.331
Re2 Re 0.041 0.081 0.613
Re3 Re 0.730 0.460 0.947
Fe1 Fe 0.998 0.996 0.004
Fe2 Fe 0.394 0.788 0.271
Fe3 Fe 0.333 0.666 0.668



3.
# FeRe2 (GGA-PBEsol, optimized geometry)
# Volume   13.11 Å³/atom
# M_tot   0.000 μB per atom
# Energy relative to the elements   -0.044 eV/atom
# Space-group type   I4/mcm (140)
# Energy   -11.920 eV/atom
data_FeRe2
_chemical_formula_sum 'Fe2 Re4'
_cell_length_a 4.635
_cell_length_b 4.727
_cell_length_c 4.727
_cell_angle_alpha 76.09
_cell_angle_beta 60.64
_cell_angle_gamma 60.64
_symmetry_space_group_name_H-M 'P 1'
_symmetry_Int_Tables_number 1
loop_
_symmetry_equiv_pos_as_xyz
'x,y,z'
loop_
_atom_site_label
_atom_site_type_symbol
_atom_site_fract_x
_atom_site_fract_y
_atom_site_fract_z
Re1 Re 0.652 0.500 0.195
Re2 Re 0.152 0.195 0.500
Re3 Re 0.848 0.805 0.500
Re4 Re 0.348 0.500 0.805
Fe1 Fe 0.750 0.000 0.000
Fe2 Fe 0.250 0.000 0.000



4.
# FeRe (GGA-PBEsol, optimized geometry)
# Volume   12.27 Å³/atom
# M_tot   0.000 μB per atom
# Energy relative to the elements   -0.032 eV/atom
# Space-group type   Pnma (62)
# Energy   -11.180 eV/atom
data_FeRe
_chemical_formula_sum 'Fe4 Re4'
_cell_length_a 4.165
_cell_length_b 4.550
_cell_length_c 5.182
_cell_angle_alpha 90.00
_cell_angle_beta 90.00
_cell_angle_gamma 90.00
_symmetry_space_group_name_H-M 'P 1'
_symmetry_Int_Tables_number 1
loop_
_symmetry_equiv_pos_as_xyz
'x,y,z'
loop_
_atom_site_label
_atom_site_type_symbol
_atom_site_fract_x
_atom_site_fract_y
_atom_site_fract_z
Fe1 Fe 0.750 0.920 0.877
Fe2 Fe 0.250 0.580 0.377
Fe3 Fe 0.750 0.420 0.623
Fe4 Fe 0.250 0.080 0.123
Re1 Re 0.750 0.903 0.377
Re2 Re 0.250 0.597 0.877
Re3 Re 0.750 0.403 0.123
Re4 Re 0.250 0.097 0.623



5.
# FeRe2 (GGA-PBEsol, optimized geometry)
# Volume   13.09 Å³/atom
# M_tot   0.001 μB per atom
# Energy relative to the elements   0.014 eV/atom
# Space-group type   P6_3/mmc (194)
# Energy   -11.862 eV/atom
data_FeRe2
_chemical_formula_sum 'Fe2 Re4'
_cell_length_a 4.148
_cell_length_b 4.148
_cell_length_c 5.271
_cell_angle_alpha 90.00
_cell_angle_beta 90.00
_cell_angle_gamma 120.00
_symmetry_space_group_name_H-M 'P 1'
_symmetry_Int_Tables_number 1
loop_
_symmetry_equiv_pos_as_xyz
'x,y,z'
loop_
_atom_site_label
_atom_site_type_symbol
_atom_site_fract_x
_atom_site_fract_y
_atom_site_fract_z
Re1 Re 0.000 0.000 0.000
Re2 Re 0.000 0.000 0.500
Re3 Re 0.333 0.667 0.750
Re4 Re 0.667 0.333 0.250
Fe1 Fe 0.333 0.667 0.250
Fe2 Fe 0.667 0.333 0.750



6.
# FeRe (GGA-PBEsol, optimized geometry)
# Volume   12.35 Å³/atom
# M_tot   0.000 μB per atom
# Energy relative to the elements   0.037 eV/atom
# Space-group type   C2/m (12)
# Energy   -11.111 eV/atom
data_FeRe
_chemical_formula_sum 'Fe2 Re2'
_cell_length_a 2.633
_cell_length_b 4.472
_cell_length_c 4.877
_cell_angle_alpha 115.61
_cell_angle_beta 105.66
_cell_angle_gamma 90.00
_symmetry_space_group_name_H-M 'P 1'
_symmetry_Int_Tables_number 1
loop_
_symmetry_equiv_pos_as_xyz
'x,y,z'
loop_
_atom_site_label
_atom_site_type_symbol
_atom_site_fract_x
_atom_site_fract_y
_atom_site_fract_z
Re1 Re 0.618 0.791 0.237
Re2 Re 0.382 0.209 0.763
Fe1 Fe 0.130 0.303 0.259
Fe2 Fe 0.870 0.697 0.741



7.
# Fe5Re3 (GGA-PBEsol, optimized geometry)
# Volume   11.76 Å³/atom
# M_tot   0.042 μB per atom
# Energy relative to the elements   0.036 eV/atom
# Space-group type   Cmmm (65)
# Energy   -10.565 eV/atom
data_Fe5Re3
_chemical_formula_sum 'Fe5 Re3'
_cell_length_a 3.626
_cell_length_b 5.093
_cell_length_c 5.093
_cell_angle_alpha 91.22
_cell_angle_beta 90.00
_cell_angle_gamma 90.00
_symmetry_space_group_name_H-M 'P 1'
_symmetry_Int_Tables_number 1
loop_
_symmetry_equiv_pos_as_xyz
'x,y,z'
loop_
_atom_site_label
_atom_site_type_symbol
_atom_site_fract_x
_atom_site_fract_y
_atom_site_fract_z
Fe1 Fe 0.000 0.000 0.000
Fe2 Fe 0.000 0.500 0.000
Fe3 Fe 0.000 0.000 0.500
Fe4 Fe 0.500 0.755 0.755
Fe5 Fe 0.500 0.245 0.245
Re1 Re 0.000 0.500 0.500
Re2 Re 0.500 0.764 0.236
Re3 Re 0.500 0.236 0.764



8.
# FeRe2 (GGA-PBEsol, optimized geometry)
# Volume   13.21 Å³/atom
# M_tot   0.000 μB per atom
# Energy relative to the elements   0.040 eV/atom
# Space-group type   Cm (8)
# Energy   -11.836 eV/atom
data_FeRe2
_chemical_formula_sum 'Fe2 Re4'
_cell_length_a 2.690
_cell_length_b 5.038
_cell_length_c 6.252
_cell_angle_alpha 103.37
_cell_angle_beta 90.00
_cell_angle_gamma 105.48
_symmetry_space_group_name_H-M 'P 1'
_symmetry_Int_Tables_number 1
loop_
_symmetry_equiv_pos_as_xyz
'x,y,z'
loop_
_atom_site_label
_atom_site_type_symbol
_atom_site_fract_x
_atom_site_fract_y
_atom_site_fract_z
Re1 Re 0.392 0.784 0.270
Re2 Re 0.060 0.120 0.604
Re3 Re 0.334 0.668 0.666
Re4 Re 0.713 0.426 0.955
Fe1 Fe 0.002 0.004 0.003
Fe2 Fe 0.666 0.332 0.334